# 1
A relaxed Ca2TlSe crystal. Source: Alexandria, functional PBE.

Unit cell a=3.9791 b=3.9791 c=8.5800 alpha=90.00 beta=90.00 gamma=90.00
Sites, in units of the cell vectors:
Tl 0.5000 0.5000 0.7848
Ca 0.0000 0.0000 0.9919
Ca 0.5000 0.5000 0.3996
Se 0.0000 0.0000 0.3236

Uncorrected energy   -3.38 eV/atom
Formation energy from raw total energies   -0.913 eV per atom
Magnetization   0.0 μB/f.u.
Space group   P4mm (99)

# 2
A relaxed TbGdGaTc crystal. Source: Alexandria, functional PBE.

Unit cell a=4.9817 b=4.9817 c=4.9817 alpha=60.00 beta=60.00 gamma=60.00
Sites, in units of the cell vectors:
Gd 0.5000 0.5000 0.5000
Tb 0.0000 0.0000 0.0000
Tc 0.7500 0.7500 0.7500
Ga 0.2500 0.2500 0.2500

Uncorrected energy   -8.23 eV/atom
Energy relative to the elements   -0.207 eV/atom
Magnetization   6.9 μB/f.u.
Space group   F-43m (216)

# 3
A relaxed BeFeP crystal. Source: Alexandria, functional PBE.

Unit cell a=3.6299 b=3.6299 c=3.6299 alpha=60.00 beta=60.00 gamma=60.00
Sites, in units of the cell vectors:
P 0.0000 0.0000 0.0000
Fe 0.7500 0.7500 0.7500
Be 0.5000 0.5000 0.5000

Uncorrected energy   -6.03 eV/atom
Energy relative to the elements   -0.164 eV/atom
Magnetization   0.0 μB/f.u.
Space group   F-43m (216)

# 4
A relaxed Mn2HPtAu crystal. Source: Alexandria, functional PBE.

Unit cell a=4.2169 b=4.2169 c=3.7051 alpha=90.00 beta=90.00 gamma=90.00
Sites, in units of the cell vectors:
H 0.0000 0.0000 0.0000
Mn 0.0000 0.5000 0.0000
Mn 0.5000 0.0000 0.0000
Au 0.5000 0.5000 0.5000
Pt 0.0000 0.0000 0.5000

Uncorrected energy   -6.28 eV/atom
Magnetization   8.2 μB/f.u.
Space group   P4/mmm (123)

# 5
A relaxed Ce4BiTe2Br crystal. Source: Alexandria, functional PBE.

Unit cell a=4.5122 b=7.8215 c=7.6004 alpha=70.00 beta=90.00 gamma=90.00
Sites, in units of the cell vectors:
Ce 0.0000 0.7533 0.7418
Ce 0.0000 0.2467 0.2582
Ce 0.5000 0.7475 0.2586
Ce 0.5000 0.2525 0.7414
Bi 0.5000 0.5000 0.0000
Te 0.0000 0.0000 0.0000
Te 0.5000 0.0000 0.5000
Br 0.0000 0.5000 0.5000

Uncorrected energy   -5.59 eV/atom
Formation energy from raw total energies   -1.143 eV per atom
Magnetization   4.6 μB/f.u.
Space group   P2/m (10)

# 6
A relaxed SmScAlGa crystal. Source: Alexandria, functional PBE.

Unit cell a=4.9882 b=4.9882 c=4.9882 alpha=60.00 beta=60.00 gamma=60.00
Sites, in units of the cell vectors:
Sc 0.0000 0.0000 0.0000
Ga 0.2500 0.2500 0.2500
Sm 0.5000 0.5000 0.5000
Al 0.7500 0.7500 0.7500

Uncorrected energy   -4.92 eV/atom
Energy relative to the elements   -0.462 eV/atom
Magnetization   0.0 μB/f.u.
Space group   F-43m (216)

# 7
A relaxed MgCo2C crystal. Source: Alexandria, functional PBE.

Unit cell a=6.2106 b=6.2106 c=5.0020 alpha=51.62 beta=51.62 gamma=90.00
Sites, in units of the cell vectors:
Mg 0.0000 0.0000 0.0000
Mg 0.7500 0.2500 0.5000
Co 0.5028 0.1250 0.2500
Co 0.2472 0.6250 0.2500
Co 0.3750 0.4972 0.7500
Co 0.8750 0.7528 0.7500
C 0.5000 0.5000 0.0000
C 0.2500 0.7500 0.5000

Uncorrected energy   -6.08 eV/atom
Energy relative to the elements   0.175 eV/atom
Magnetization   0.0 μB/f.u.
Space group   I-42d (122)

# 8
A relaxed CeGdTePb crystal. Source: Alexandria, functional PBE.

Unit cell a=5.4745 b=5.4745 c=5.4745 alpha=60.00 beta=60.00 gamma=60.00
Sites, in units of the cell vectors:
Pb 0.5000 0.5000 0.5000
Gd 0.7500 0.7500 0.7500
Te 0.0000 0.0000 0.0000
Ce 0.2500 0.2500 0.2500

Uncorrected energy   -7.47 eV/atom
Formation energy from raw total energies   -0.757 eV per atom
Magnetization   8.0 μB/f.u.
Space group   F-43m (216)

Which formula does entry 2 have? TbGdGaTc